No. 1
# TePtO2 (GGA-PBE, relaxed)
# **E_tot**: -0.1787 Ha/atom
# **DOS at the Fermi energy**: 2.2 states/eV/cell
# **Raw formation energy**: -89 meV per atom
data_TePtO2
_chemical_formula_sum 'Te2 Pt2 O4'
_cell_length_a 4.057
_cell_length_b 4.057
_cell_length_c 7.516
_cell_angle_alpha 74.34
_cell_angle_beta 74.34
_cell_angle_gamma 90.00
_symmetry_space_group_name_H-M 'P 1'
_symmetry_Int_Tables_number 1
loop_
_symmetry_equiv_pos_as_xyz
'x,y,z'
loop_
_atom_site_label
_atom_site_type_symbol
_atom_site_fract_x
_atom_site_fract_y
_atom_site_fract_z
_atom_site_occupancy
Te1 Te 0.500 0.500 0.000 1
Te2 Te 0.250 0.750 0.500 1
O1 O 0.625 0.125 0.250 1
O2 O 0.125 0.625 0.250 1
O3 O 0.375 0.375 0.750 1
O4 O 0.875 0.875 0.750 1
Pt1 Pt 0.000 0.000 0.000 1
Pt2 Pt 0.750 0.250 0.500 1


No. 2
# YNiRh2 (GGA-PBE, relaxed)
# **E_tot**: -0.2554 Ha/atom
# **DOS at the Fermi energy**: 7.6 states/eV/cell
# **Energy relative to the elements**: -0.212 eV per atom
data_YNiRh2
_chemical_formula_sum 'Y1 Ni1 Rh2'
_cell_length_a 4.527
_cell_length_b 4.527
_cell_length_c 4.527
_cell_angle_alpha 60.00
_cell_angle_beta 60.00
_cell_angle_gamma 60.00
_symmetry_space_group_name_H-M 'P 1'
_symmetry_Int_Tables_number 1
loop_
_symmetry_equiv_pos_as_xyz
'x,y,z'
loop_
_atom_site_label
_atom_site_type_symbol
_atom_site_fract_x
_atom_site_fract_y
_atom_site_fract_z
_atom_site_occupancy
Ni1 Ni 0.500 0.500 0.500 1
Rh1 Rh 0.000 0.000 0.000 1
Rh2 Rh 0.250 0.250 0.250 1
Y1 Y 0.750 0.750 0.750 1


No. 3
# Pr5DyY2Er (GGA-PBE, relaxed)
# **E_tot**: -0.1762 Ha/atom
# **DOS at the Fermi energy**: 30.3 states/eV/cell
# **Energy relative to the elements**: 0.314 eV per atom
data_Pr5DyY2Er
_chemical_formula_sum 'Pr10 Dy2 Y4 Er2'
_cell_length_a 8.655
_cell_length_b 8.655
_cell_length_c 10.414
_cell_angle_alpha 114.55
_cell_angle_beta 114.55
_cell_angle_gamma 90.00
_symmetry_space_group_name_H-M 'P 1'
_symmetry_Int_Tables_number 1
loop_
_symmetry_equiv_pos_as_xyz
'x,y,z'
loop_
_atom_site_label
_atom_site_type_symbol
_atom_site_fract_x
_atom_site_fract_y
_atom_site_fract_z
_atom_site_occupancy
Pr1 Pr 0.930 0.430 0.287 1
Pr2 Pr 0.643 0.143 0.713 1
Pr3 Pr 0.070 0.570 0.713 1
Pr4 Pr 0.143 0.070 0.713 1
Pr5 Pr 0.570 0.643 0.713 1
Pr6 Pr 0.857 0.930 0.287 1
Pr7 Pr 0.430 0.357 0.287 1
Pr8 Pr 0.357 0.857 0.287 1
Pr9 Pr 0.500 0.500 0.000 1
Pr10 Pr 0.000 0.000 0.000 1
Dy1 Dy 0.250 0.250 0.500 1
Dy2 Dy 0.750 0.750 0.500 1
Y1 Y 0.123 0.377 0.000 1
Y2 Y 0.623 0.123 0.000 1
Y3 Y 0.377 0.877 0.000 1
Y4 Y 0.877 0.623 0.000 1
Er1 Er 0.250 0.750 0.500 1
Er2 Er 0.750 0.250 0.500 1


No. 4
# NaMnB2 (GGA-PBE, relaxed)
# **E_tot**: -0.1920 Ha/atom
# **DOS at the Fermi energy**: 3.9 states/eV/cell
# **Energy relative to the elements**: 0.736 eV per atom
data_NaMnB2
_chemical_formula_sum 'Na2 Mn2 B4'
_cell_length_a 3.985
_cell_length_b 3.985
_cell_length_c 7.478
_cell_angle_alpha 74.55
_cell_angle_beta 74.55
_cell_angle_gamma 90.00
_symmetry_space_group_name_H-M 'P 1'
_symmetry_Int_Tables_number 1
loop_
_symmetry_equiv_pos_as_xyz
'x,y,z'
loop_
_atom_site_label
_atom_site_type_symbol
_atom_site_fract_x
_atom_site_fract_y
_atom_site_fract_z
_atom_site_occupancy
Na1 Na 0.500 0.500 0.000 1
Na2 Na 0.250 0.750 0.500 1
B1 B 0.875 0.125 0.250 1
B2 B 0.875 0.625 0.250 1
B3 B 0.375 0.125 0.750 1
B4 B 0.875 0.125 0.750 1
Mn1 Mn 0.000 0.000 0.000 1
Mn2 Mn 0.750 0.250 0.500 1